First-principles (PBE-GGA) data for a relaxed Y2HoErTl2 crystal, as listed in the Alexandria database.

Properties
Formation enthalpy at 0 K: -0.285 eV/atom

Unit cell a=5.0676 b=6.8350 c=9.9431 alpha=90.00 beta=90.00 gamma=90.00
Atoms (fractional coordinates):
Y  0.5000  0.0552  0.0440
Y  0.0000  0.3378  0.1893
Y  0.5000  0.5552  0.9560
Y  0.0000  0.8378  0.8107
Ho  0.0000  0.9596  0.4563
Ho  0.0000  0.4596  0.5437
Er  0.5000  0.1771  0.6880
Er  0.5000  0.6771  0.3120
Tl  0.0000  0.2997  0.8664
Tl  0.5000  0.2161  0.3698
Tl  0.0000  0.7997  0.1336
Tl  0.5000  0.7161  0.6302



First-principles (PBE-GGA) data for a relaxed HoEr2Tl2Zn2 crystal, as listed in the Alexandria database.

Properties
Formation enthalpy at 0 K: -0.126 eV/atom

Unit cell a=4.7509 b=4.7509 c=9.2565 alpha=75.13 beta=75.13 gamma=60.00
Atoms (fractional coordinates):
Ho  0.0000  0.0000  0.0000
Er  0.1296  0.1296  0.6113
Er  0.8704  0.8704  0.3887
Tl  0.7326  0.7326  0.8022
Tl  0.2674  0.2674  0.1978
Zn  0.5803  0.5803  0.2592
Zn  0.4197  0.4197  0.7408



First-principles (PBE-GGA) data for a relaxed Ho2Er2Tm3 crystal, as listed in the Alexandria database.

Properties
Formation enthalpy at 0 K: 0.024 eV/atom

Unit cell a=3.4865 b=8.5689 c=7.8305 alpha=111.48 beta=102.86 gamma=90.00
Atoms (fractional coordinates):
Ho  0.1427  0.4283  0.2855
Ho  0.8573  0.5717  0.7145
Er  0.4283  0.2848  0.8565
Er  0.5717  0.7152  0.1435
Tm  0.0000  0.0000  0.0000
Tm  0.2858  0.8578  0.5717
Tm  0.7142  0.1422  0.4283



First-principles (PBE-GGA) data for a relaxed HoEr15Tm4 crystal, as listed in the Alexandria database.

Properties
Formation enthalpy at 0 K: 0.024 eV/atom

Unit cell a=4.9419 b=4.9419 c=24.7114 alpha=90.00 beta=90.00 gamma=90.00
Atoms (fractional coordinates):
Ho  0.0000  0.0000  0.0000
Er  0.5000  0.5000  0.0000
Er  0.5000  0.5000  0.2003
Er  0.5000  0.5000  0.4000
Er  0.5000  0.5000  0.6000
Er  0.5000  0.5000  0.7997
Er  0.5000  0.0000  0.1003
Er  0.5000  0.0000  0.3001
Er  0.5000  0.0000  0.5000
Er  0.5000  0.0000  0.6999
Er  0.5000  0.0000  0.8997
Er  0.0000  0.5000  0.1003
Er  0.0000  0.5000  0.3001
Er  0.0000  0.5000  0.5000
Er  0.0000  0.5000  0.6999
Er  0.0000  0.5000  0.8997
Tm  0.0000  0.0000  0.2002
Tm  0.0000  0.0000  0.4001
Tm  0.0000  0.0000  0.5999
Tm  0.0000  0.0000  0.7998



First-principles (PBE-GGA) data for a relaxed Ho2Er5Tm2 crystal, as listed in the Alexandria database.

Properties
Formation enthalpy at 0 K: 0.023 eV/atom

Unit cell a=4.9362 b=9.2603 c=7.8225 alpha=53.73 beta=71.61 gamma=74.54
Atoms (fractional coordinates):
Ho  0.1109  0.3334  0.4448
Ho  0.8891  0.6666  0.5552
Er  0.3334  0.0002  0.3330
Er  0.6666  0.9998  0.6670
Er  0.2219  0.6669  0.8893
Er  0.7781  0.3331  0.1107
Er  0.0000  0.0000  0.0000
Tm  0.4443  0.3334  0.7779
Tm  0.5557  0.6666  0.2221



First-principles (PBE-GGA) data for a relaxed Ho2ErTm4 crystal, as listed in the Alexandria database.

Properties
Formation enthalpy at 0 K: 0.000 eV/atom

Unit cell a=3.5511 b=3.5509 c=19.5921 alpha=95.18 beta=90.00 gamma=120.00
Atoms (fractional coordinates):
Tm  0.9052  0.8103  0.9515
Tm  0.4286  0.8572  0.5253
Tm  0.0002  0.0004  0.2376
Tm  0.5241  0.0482  0.8101
Ho  0.6194  0.2388  0.0944
Ho  0.7142  0.4285  0.3814
Er  0.8097  0.6194  0.6678



First-principles (PBE-GGA) data for a relaxed Ho4Er10Tm crystal, as listed in the Alexandria database.

Properties
Formation enthalpy at 0 K: 0.727 eV/atom

Unit cell a=7.5760 b=9.2879 c=9.2879 alpha=80.43 beta=65.93 gamma=65.93
Atoms (fractional coordinates):
Ho  0.3995  0.8010  0.3999
Ho  0.7994  0.6001  0.8010
Ho  0.2006  0.3999  0.1990
Ho  0.6005  0.1990  0.6001
Er  0.2500  0.5000  0.5000
Er  0.6512  0.2993  0.8995
Er  0.0495  0.1005  0.2993
Er  0.4493  0.8995  0.7007
Er  0.8500  0.7007  0.1005
Er  0.3488  0.7007  0.1005
Er  0.7500  0.5000  0.5000
Er  0.1500  0.2993  0.8995
Er  0.5507  0.1005  0.2993
Er  0.9505  0.8995  0.7007
Tm  0.0000  0.0000  0.0000



First-principles (PBE-GGA) data for a relaxed HoEr7Tm3 crystal, as listed in the Alexandria database.

Properties
Formation enthalpy at 0 K: 0.285 eV/atom

Unit cell a=5.6927 b=8.2931 c=8.2931 alpha=83.23 beta=110.14 gamma=110.14
Site moments in Bohr magnetons follow the coordinates.
Atoms (fractional coordinates):
Ho  0.5000  0.5000  0.5000  0.16
Er  0.2085  0.2072  0.2072  0.01
Er  0.3003  0.0009  0.6001  0.01
Er  0.6997  0.3999  0.9991  0.01
Er  0.3003  0.6001  0.0009  0.01
Er  0.0000  0.5000  0.5000  0.16
Er  0.6997  0.9991  0.3999  0.01
Er  0.7915  0.7928  0.7928  0.01
Tm  0.0000  0.7932  0.2068  0.01
Tm  0.5000  0.0000  0.0000  0.00
Tm  0.0000  0.2068  0.7932  0.01



no.,raw total energy (eV/cell)
1,-57.02
2,-21.87
3,-31.53
4,-90.43
5,-40.71
6,-31.60
7,-57.50
8,-46.80